Density functional theory data (SCAN) for CrHgRu2 at its PBEsol-relaxed geometry.

Values from the calculation:
Spin magnetization, μB/cell: 0.7
Symmetry: P4/mmm (123)
Energy of formation, eV per atom: 0.279

a b c (Å): 2.850 2.850 7.101
angles (deg): 90.00 90.00 90.00
Element x y z (fractional)
Cr: 0.000 0.000 0.000
Hg: 0.000 0.000 0.500
Ru: 0.500 0.500 0.205
Ru: 0.500 0.500 0.795

---

Density functional theory data (SCAN) for Hf2ZrTi at its PBEsol-relaxed geometry.

Values from the calculation:
Spin magnetization, μB/cell: 1.0
Symmetry: Fm-3m (225)
Energy of formation, eV per atom: 0.119

a b c (Å): 4.852 4.852 4.852
angles (deg): 60.00 60.00 60.00
Element x y z (fractional)
Hf: 0.250 0.250 0.250
Hf: 0.750 0.750 0.750
Zr: 0.000 0.000 0.000
Ti: 0.500 0.500 0.500

---

Density functional theory data (SCAN) for CsNa3In at its PBEsol-relaxed geometry.

Values from the calculation:
Spin magnetization, μB/cell: 0.0
Symmetry: Pm-3m (221)
Energy of formation, eV per atom: 0.692
Energy relative to the lowest polymorph listed for this composition, eV/atom: 0.737

a b c (Å): 6.451 6.451 6.451
angles (deg): 90.00 90.00 90.00
Element x y z (fractional)
Cs: 0.000 0.000 0.000
Na: 0.000 0.000 0.500
Na: 0.000 0.500 0.000
Na: 0.500 0.000 0.000
In: 0.500 0.500 0.500

---

Density functional theory data (SCAN) for Sr3PbO at its PBEsol-relaxed geometry.

Values from the calculation:
Spin magnetization, μB/cell: 0.0
Formation energy from raw total energies, eV/atom: -1.69
Symmetry: Pm-3m (221)

a b c (Å): 5.125 5.125 5.125
angles (deg): 90.00 90.00 90.00
Element x y z (fractional)
Sr: 0.000 0.000 0.500
Sr: 0.000 0.500 0.000
Sr: 0.500 0.000 0.000
Pb: 0.500 0.500 0.500
O: 0.000 0.000 0.000

---

Density functional theory data (SCAN) for HgRu2Pt at its PBEsol-relaxed geometry.

Values from the calculation:
Spin magnetization, μB/cell: 2.4
Symmetry: P4/mmm (123)
Energy of formation, eV per atom: 0.578

a b c (Å): 4.691 4.691 2.788
angles (deg): 90.00 90.00 90.00
Element x y z (fractional)
Hg: 0.000 0.000 0.000
Ru: 0.000 0.500 0.500
Ru: 0.500 0.000 0.500
Pt: 0.500 0.500 0.000

---

Density functional theory data (SCAN) for Fe9Co7 at its PBEsol-relaxed geometry.

Values from the calculation:
Spin magnetization, μB/cell: 38.0
Symmetry: Pm-3m (221)
Energy of formation, eV per atom: -0.221

a b c (Å): 5.597 5.597 5.597
angles (deg): 90.00 90.00 90.00
Element x y z (fractional)
Fe: 0.000 0.000 0.000
Fe: 0.250 0.250 0.250
Fe: 0.250 0.250 0.750
Fe: 0.250 0.750 0.250
Fe: 0.250 0.750 0.750
Fe: 0.750 0.250 0.250
Fe: 0.750 0.250 0.750
Fe: 0.750 0.750 0.250
Fe: 0.750 0.750 0.750
Co: 0.000 0.000 0.500
Co: 0.000 0.500 0.000
Co: 0.000 0.500 0.500
Co: 0.500 0.000 0.000
Co: 0.500 0.000 0.500
Co: 0.500 0.500 0.000
Co: 0.500 0.500 0.500